VASP calculation (GGA-PBE) on crystalline Mn2VMo at its relaxed geometry.

## Properties
N(E_F) in states/eV per cell: 14.1
Calculated volume in Å³ per atom: 12.7
Total magnetization in μB/cell: 0.00
Energy relative to the lowest polymorph listed for this composition in eV/atom: 0.016
Density in g/cm3: 8.41
DFT formation energy in meV/atom: -58.7

CIF file:
```
data_Mn2VMo
_symmetry_space_group_name_H-M 'F m -3 m'
_symmetry_Int_Tables_number 225
_symmetry_space_group_name_Hall '-F 4 2 3'
_cell_length_a 5.876
_cell_length_b 5.876
_cell_length_c 5.876
_cell_angle_alpha 90.00
_cell_angle_beta 90.00
_cell_angle_gamma 90.00
loop_
_atom_site_label
_atom_site_type_symbol
_atom_site_fract_x
_atom_site_fract_y
_atom_site_fract_z
Mn1 Mn 0.250 0.250 0.250
V1 V 0.000 0.000 0.000
Mo1 Mo 0.000 0.000 0.500
```